*i*
{
  "formula": "InS3I",
  "functional": "PBE",
  "state": "relaxed",
  "space_group": "P1 (1)",
  "m_tot_mub_per_atom": 0.00,
  "lattice_angstrom": [[4.088, 0.000, 0.000], [1.121, 5.863, 0.000], [0.486, 1.733, 7.543]],
  "species": ["In", "S", "S", "S", "I"],
  "frac_coords": [[0.000, 0.000, 0.000], [0.286, 0.384, 0.239], [0.390, 0.710, 0.213], [0.437, 0.286, 0.999], [0.864, 0.928, 0.681]]
}

*ii*
{
  "formula": "InS3I",
  "functional": "PBE",
  "state": "relaxed",
  "space_group": "Pm-3m (221)",
  "n_ef_per_ev_atom": 1.25,
  "m_tot_mub_per_atom": 0.00,
  "lattice_angstrom": [[5.052, 0.000, 0.000], [0.000, 5.052, 0.000], [0.000, 0.000, 5.052]],
  "species": ["In", "S", "S", "S", "I"],
  "frac_coords": [[0.000, 0.000, 0.000], [0.000, 0.000, 0.500], [0.000, 0.500, 0.000], [0.500, 0.000, 0.000], [0.500, 0.500, 0.500]]
}

The most stable of them is *i*.

*i*
{
  "formula": "InSI2",
  "functional": "PBE",
  "state": "relaxed",
  "space_group": "Fm-3m (225)",
  "n_ef_per_ev_atom": 0.88,
  "m_tot_mub_per_atom": 0.43,
  "lattice_angstrom": [[0.000, 3.902, 3.902], [3.902, 0.000, 3.902], [3.902, 3.902, 0.000]],
  "species": ["In", "S", "I", "I"],
  "frac_coords": [[0.000, 0.000, 0.000], [0.500, 0.500, 0.500], [0.250, 0.250, 0.250], [0.750, 0.750, 0.750]]
}

*ii*
{
  "formula": "InSI2",
  "functional": "PBE",
  "state": "relaxed",
  "space_group": "I-42d (122)",
  "n_ef_per_ev_atom": 0.33,
  "m_tot_mub_per_atom": 0.00,
  "lattice_angstrom": [[-3.240, 3.240, 8.682], [3.240, -3.240, 8.682], [3.240, 3.240, -8.682]],
  "species": ["In", "In", "S", "S", "I", "I", "I", "I"],
  "frac_coords": [[0.000, 0.000, 0.000], [0.750, 0.250, 0.500], [0.250, 0.750, 0.500], [0.500, 0.500, 0.000], [0.230, 0.625, 0.105], [0.375, 0.480, 0.605], [0.520, 0.125, 0.895], [0.875, 0.770, 0.395]]
}

The most stable of them is *ii*.

*i*
{
  "formula": "InSbSI2",
  "functional": "PBE",
  "state": "relaxed",
  "space_group": "P4/mmm (123)",
  "n_ef_per_ev_atom": 0.63,
  "m_tot_mub_per_atom": 0.00,
  "lattice_angstrom": [[5.776, 0.000, 0.000], [0.000, 5.776, 0.000], [0.000, 0.000, 5.245]],
  "species": ["In", "Sb", "S", "I", "I"],
  "frac_coords": [[0.000, 0.000, 0.000], [0.500, 0.500, 0.000], [0.500, 0.500, 0.500], [0.000, 0.500, 0.500], [0.500, 0.000, 0.500]]
}

*ii*
{
  "formula": "InSbSI2",
  "functional": "PBE",
  "state": "relaxed",
  "space_group": "P4/mmm (123)",
  "n_ef_per_ev_atom": 0.52,
  "m_tot_mub_per_atom": 0.07,
  "lattice_angstrom": [[5.787, 0.000, 0.000], [0.000, 5.787, 0.000], [0.000, 0.000, 6.000]],
  "species": ["In", "Sb", "S", "I", "I"],
  "frac_coords": [[0.000, 0.000, 0.000], [0.000, 0.000, 0.500], [0.500, 0.500, 0.500], [0.000, 0.500, 0.000], [0.500, 0.000, 0.000]]
}

The most stable of them is *i*.

*i*
{
  "formula": "InSb2SI",
  "functional": "PBE",
  "state": "relaxed",
  "space_group": "P4/mmm (123)",
  "n_ef_per_ev_atom": 1.02,
  "m_tot_mub_per_atom": 0.06,
  "lattice_angstrom": [[5.713, 0.000, 0.000], [0.000, 5.713, 0.000], [0.000, 0.000, 5.629]],
  "species": ["In", "Sb", "Sb", "S", "I"],
  "frac_coords": [[0.000, 0.000, 0.000], [0.000, 0.500, 0.000], [0.500, 0.000, 0.000], [0.500, 0.500, 0.500], [0.000, 0.000, 0.500]]
}

*ii*
{
  "formula": "InSb2SI",
  "functional": "PBE",
  "state": "relaxed",
  "space_group": "P4/mmm (123)",
  "n_ef_per_ev_atom": 0.73,
  "m_tot_mub_per_atom": 0.00,
  "lattice_angstrom": [[5.301, 0.000, 0.000], [0.000, 5.301, 0.000], [0.000, 0.000, 5.699]],
  "species": ["In", "Sb", "Sb", "S", "I"],
  "frac_coords": [[0.000, 0.000, 0.000], [0.000, 0.500, 0.500], [0.500, 0.000, 0.500], [0.500, 0.500, 0.500], [0.500, 0.500, 0.000]]
}

The most stable of them is *ii*.

*i*
{
  "formula": "In2Sb2I",
  "functional": "PBE",
  "state": "relaxed",
  "space_group": "P4/mbm (127)",
  "n_ef_per_ev_atom": 0.60,
  "m_tot_mub_per_atom": 0.00,
  "lattice_angstrom": [[9.062, 0.000, 0.000], [0.000, 9.062, 0.000], [0.000, 0.000, 3.665]],
  "species": ["In", "In", "In", "In", "Sb", "Sb", "Sb", "Sb", "I", "I"],
  "frac_coords": [[0.147, 0.353, 0.000], [0.353, 0.853, 0.000], [0.647, 0.147, 0.000], [0.853, 0.647, 0.000], [0.151, 0.651, 0.500], [0.349, 0.151, 0.500], [0.651, 0.849, 0.500], [0.849, 0.349, 0.500], [0.000, 0.000, 0.500], [0.500, 0.500, 0.500]]
}

*ii*
{
  "formula": "In2Sb2I",
  "functional": "PBE",
  "state": "relaxed",
  "space_group": "P4/mbm (127)",
  "n_ef_per_ev_atom": 1.04,
  "m_tot_mub_per_atom": 0.00,
  "lattice_angstrom": [[8.956, 0.000, 0.000], [0.000, 8.956, 0.000], [0.000, 0.000, 3.717]],
  "species": ["In", "In", "In", "In", "Sb", "Sb", "Sb", "Sb", "I", "I"],
  "frac_coords": [[0.160, 0.340, 0.000], [0.340, 0.840, 0.000], [0.660, 0.160, 0.000], [0.840, 0.660, 0.000], [0.134, 0.634, 0.500], [0.366, 0.134, 0.500], [0.634, 0.866, 0.500], [0.866, 0.366, 0.500], [0.000, 0.000, 0.000], [0.500, 0.500, 0.000]]
}

The most stable of them is *i*.

*i*
{
  "formula": "In2Sb2I",
  "functional": "PBE",
  "state": "relaxed",
  "space_group": "I4/mmm (139)",
  "n_ef_per_ev_atom": 0.19,
  "m_tot_mub_per_atom": 0.00,
  "lattice_angstrom": [[-2.806, 2.806, 5.092], [2.806, -2.806, 5.092], [2.806, 2.806, -5.092]],
  "species": ["In", "In", "Sb", "Sb", "I"],
  "frac_coords": [[0.250, 0.750, 0.500], [0.750, 0.250, 0.500], [0.140, 0.140, 0.000], [0.860, 0.860, 0.000], [0.500, 0.500, 0.000]]
}

*ii*
{
  "formula": "In2Sb2I",
  "functional": "PBE",
  "state": "relaxed",
  "space_group": "I4/mmm (139)",
  "n_ef_per_ev_atom": 0.50,
  "m_tot_mub_per_atom": 0.00,
  "lattice_angstrom": [[-2.178, 2.178, 8.872], [2.178, -2.178, 8.872], [2.178, 2.178, -8.872]],
  "species": ["In", "In", "Sb", "Sb", "I"],
  "frac_coords": [[0.098, 0.098, 0.000], [0.902, 0.902, 0.000], [0.250, 0.750, 0.500], [0.750, 0.250, 0.500], [0.500, 0.500, 0.000]]
}

The most stable of them is *i*.